DFT (PBE) results for a geometry-optimized LiCr2SeS structure.

Properties
Theoretical density, g/cm3: 3.85
Energy, eV/atom: -5.07
Formation energy from raw total energies, meV/atom: 685.2

Cell lengths 4.886, 4.886, 4.006 Å; angles 90.00, 90.00, 90.00 degrees
Space group P4/mmm (No. 123)
Unique sites:
Li1 0.000 0.000 0.000 (multiplicity 1)
Cr1 0.000 0.500 0.000 (multiplicity 2)
Se1 0.000 0.000 0.500 (multiplicity 1)
S1 0.500 0.500 0.500 (multiplicity 1)

---

DFT (PBE) results for a geometry-optimized Pm6GeP2Cl3 structure.

Properties
Theoretical density, g/cm3: 5.99
Energy, eV/atom: -5.61
Formation energy from raw total energies, meV/atom: -1490.1

Cell lengths 18.263, 4.145, 8.395 Å; angles 90.00, 104.06, 90.00 degrees
Space group C2/m (No. 12)
Unique sites:
Pm1 0.009 0.000 0.240 (multiplicity 4)
Pm2 0.162 0.500 0.106 (multiplicity 4)
Pm3 0.175 0.500 0.564 (multiplicity 4)
Ge1 0.000 0.500 0.000 (multiplicity 2)
P1 0.168 0.000 0.335 (multiplicity 4)
Cl1 0.000 0.500 0.500 (multiplicity 2)
Cl2 0.165 0.000 0.833 (multiplicity 4)

---

DFT (PBE) results for a geometry-optimized Cr2CuNi2 structure.

Properties
Theoretical density, g/cm3: 7.62
Energy, eV/atom: -6.53
ΔE to the lowest computed polymorph, meV per atom: 189

Cell lengths 3.247, 3.247, 11.777 Å; angles 90.00, 90.00, 90.00 degrees
Space group I4/mmm (No. 139)
Unique sites:
Cr1 0.000 0.500 0.250 (multiplicity 4)
Cu1 0.000 0.000 0.000 (multiplicity 2)
Ni1 0.000 0.000 0.403 (multiplicity 4)

---

DFT (PBE) results for a geometry-optimized Pr6NdHo3Er2 structure.

Properties
Theoretical density, g/cm3: 7.48
Energy, eV/atom: -4.68

Cell lengths 6.308, 10.926, 11.905 Å; angles 90.00, 100.14, 90.00 degrees
Space group C2/m (No. 12)
Unique sites:
Pr1 0.249 0.167 0.249 (multiplicity 8)
Pr2 0.250 0.000 0.751 (multiplicity 4)
Nd1 0.000 0.500 0.500 (multiplicity 2)
Ho1 0.000 0.000 0.000 (multiplicity 2)
Ho2 0.000 0.333 0.000 (multiplicity 4)
Er1 0.000 0.166 0.500 (multiplicity 4)

---

DFT (PBE) results for a geometry-optimized BeOsBr2 structure.

Properties
Theoretical density, g/cm3: 6.52
Energy, eV/atom: -4.35
ΔE to the lowest computed polymorph, meV per atom: 40
Formation energy from raw total energies, meV/atom: 221.5

Cell lengths 7.304, 3.184, 7.885 Å; angles 90.00, 94.07, 90.00 degrees
Space group Cm (No. 8)
Unique sites:
Be1 0.000 0.000 0.000 (multiplicity 2)
Os1 0.272 0.000 0.896 (multiplicity 2)
Br1 0.220 0.500 0.660 (multiplicity 2)
Br2 0.392 0.000 0.200 (multiplicity 2)

---

DFT (PBE) results for a geometry-optimized LiAcPmPb structure.

Properties
Theoretical density, g/cm3: 7.75
Energy, eV/atom: -3.89

Cell lengths 7.951, 7.951, 7.951 Å; angles 90.00, 90.00, 90.00 degrees
Space group F-43m (No. 216)
Unique sites:
Li1 0.000 0.000 0.000 (multiplicity 4)
Ac1 0.250 0.250 0.750 (multiplicity 4)
Pm1 0.250 0.250 0.250 (multiplicity 4)
Pb1 0.000 0.000 0.500 (multiplicity 4)

---

DFT (PBE) results for a geometry-optimized Sc2PaTc structure.

Properties
Theoretical density, g/cm3: 7.55
Energy, eV/atom: -8.33
ΔE to the lowest computed polymorph, meV per atom: 0

Cell lengths 6.925, 9.035, 5.888 Å; angles 90.00, 90.00, 90.00 degrees
Space group Pnma (No. 62)
Unique sites:
Sc1 0.176 0.061 0.161 (multiplicity 8)
Pa1 0.043 0.250 0.643 (multiplicity 4)
Tc1 0.137 0.750 0.974 (multiplicity 4)

---

DFT (PBE) results for a geometry-optimized LaPrTlAg structure.

Properties
Theoretical density, g/cm3: 8.39
Energy, eV/atom: -4.06

Cell lengths 3.803, 3.803, 8.102 Å; angles 90.00, 90.00, 90.00 degrees
Space group P4mm (No. 99)
Unique sites:
La1 0.000 0.000 0.000 (multiplicity 1)
Pr1 0.000 0.000 0.526 (multiplicity 1)
Tl1 0.500 0.500 0.266 (multiplicity 1)
Ag1 0.500 0.500 0.755 (multiplicity 1)